# 1
KGaGe at its PBEsol-relaxed geometry, computed with SCAN.

Energy (eV per atom): -14.853
Size of the total moment (Bohr magnetons per cell): 0.0
Energy of formation from the pure elements (eV/f.u.): -0.80

Unit cell a=4.210 b=4.210 c=10.700 alpha=90.00 beta=90.00 gamma=120.00
Fractional positions:
Ga1 0.333 0.667 0.750
Ga2 0.667 0.333 0.250
K1 0.000 0.000 0.500
K2 0.000 0.000 0.000
Ge1 0.333 0.667 0.250
Ge2 0.667 0.333 0.750

=====

# 2
NbAlSe2Cl at its PBEsol-relaxed geometry, computed with SCAN.

Energy (eV per atom): -16.861
Energy relative to the elements, uncorrected (eV per atom): 0.942
Size of the total moment (Bohr magnetons per cell): 2.8

Unit cell a=4.419 b=4.942 c=4.942 alpha=90.00 beta=90.00 gamma=90.00
Last column: magnetic moment on the atom in μB.
Fractional positions:
Al1 0.500 0.000 0.000  0.00
Se1 0.000 0.000 0.500  -0.13
Se2 0.000 0.500 0.000  -0.13
Nb1 0.500 0.500 0.500  2.30
Cl1 0.000 0.000 0.000  -0.04

=====

# 3
PPbS2F at its PBEsol-relaxed geometry, computed with SCAN.

Energy (eV per atom): -20.808
Energy relative to the elements, uncorrected (eV per atom): 0.988
Size of the total moment (Bohr magnetons per cell): 3.8

Unit cell a=5.110 b=5.110 c=5.340 alpha=90.00 beta=90.00 gamma=90.00
Last column: magnetic moment on the atom in μB.
Fractional positions:
P1 0.000 0.000 0.500  0.80
Pb1 0.000 0.000 0.000  -0.02
S1 0.500 0.000 0.000  0.50
S2 0.000 0.500 0.000  0.50
F1 0.500 0.500 0.500  0.45

=====

# 4
PmLuMg2 at its PBEsol-relaxed geometry, computed with SCAN.

Energy (eV per atom): -27.383
Size of the total moment (Bohr magnetons per cell): 0.1
Energy of formation from the pure elements (eV/f.u.): -0.25

Unit cell a=5.297 b=5.297 c=5.297 alpha=60.00 beta=60.00 gamma=60.00
Fractional positions:
Mg1 0.250 0.250 0.250
Mg2 0.750 0.750 0.750
Lu1 0.500 0.500 0.500
Pm1 0.000 0.000 0.000

=====

# 5
Cs2GeBF at its PBEsol-relaxed geometry, computed with SCAN.

Energy (eV per atom): -21.695
Energy relative to the elements, uncorrected (eV per atom): -0.559
Size of the total moment (Bohr magnetons per cell): 0.0

Unit cell a=3.708 b=6.455 c=6.455 alpha=90.00 beta=90.00 gamma=90.00
Fractional positions:
Ge1 0.500 0.000 0.000
B1 0.000 0.000 0.000
Cs1 0.000 0.000 0.500
Cs2 0.000 0.500 0.000
F1 0.500 0.500 0.500

=====

# 6
LiHCl2 at its PBEsol-relaxed geometry, computed with SCAN.

Energy (eV per atom): -6.684
Size of the total moment (Bohr magnetons per cell): 0.0

Unit cell a=3.782 b=3.782 c=6.131 alpha=72.03 beta=72.03 gamma=60.00
Fractional positions:
H1 0.000 0.000 0.000
Li1 0.500 0.500 0.500
Cl1 0.090 0.090 0.729
Cl2 0.910 0.910 0.271